No. 1
Ba3MgAu2O6: optimized geometry, PBE.

ρ = 7.10 g/cm3

abc: 6.0430 6.0430 6.8494
angles: 90.00 90.00 120.00
Space group P-3m1 (No. 164)
One atom of each set of equivalent atoms:
Ba  0.0000  0.0000  0.0000 (multiplicity 1)
Ba  0.3333  0.6667  0.6363 (multiplicity 2)
Mg  0.0000  0.0000  0.5000 (multiplicity 1)
Au  0.3333  0.6667  0.1505 (multiplicity 2)
O  0.1598  0.3197  0.3152 (multiplicity 6)

No. 2
SrNbGeAu2: optimized geometry, PBE.

Energy relative to the elements = 1.63 eV per atom
ρ = 6.14 g/cm3

abc: 5.441 5.441 5.915
angles: 90.00 90.00 90.00
Space group P4/mmm (No. 123)
One atom of each set of equivalent atoms:
Sr  0.000  0.000  0.000 (multiplicity 1)
Nb  0.000  0.000  0.500 (multiplicity 1)
Ge  0.500  0.500  0.500 (multiplicity 1)
Au  0.000  0.500  0.000 (multiplicity 2)

No. 3
TbBi2SbO8: optimized geometry, PBE.

ρ = 7.71 g/cm3

abc: 5.059 6.957 5.061
angles: 90.00 90.47 90.00
Space group P2/m (No. 10)
One atom of each set of equivalent atoms:
Tb  0.000  0.000  0.000 (multiplicity 1)
Bi  0.500  0.255  0.500 (multiplicity 2)
Sb  0.000  0.500  0.000 (multiplicity 1)
O  0.184  0.277  0.182 (multiplicity 4)
O  0.284  0.500  0.714 (multiplicity 2)
O  0.314  0.000  0.684 (multiplicity 2)

no.,DFT total energy (Ry per atom)
1,-0.3741
2,-0.2169
3,-0.4643